The following is a DFT calculation (PBE) of crystalline YZnFe2Ru at its relaxed geometry.

abc: 4.4427 4.4427 4.7035
angles: 90.00 90.00 90.00
Atoms (fractional coordinates):
Y 0.0000 0.0000 0.0000
Zn 0.5000 0.5000 0.0000
Fe 0.0000 0.5000 0.5000
Fe 0.5000 0.0000 0.5000
Ru 0.5000 0.5000 0.5000

## Properties
Space group   No. 123
E_tot   -30.64 eV per cell
Calculated formation energy   661 meV/atom